(1)
Compound: K2PF8
Source: Alexandria via LeMat-Bulk
Functional: GGA-PBE
Structure: optimized geometry

Output
Formation energy from raw total energies = -2.51 eV per atom
Crystal system = monoclinic

a = 6.5730 Å, b = 6.5730 Å, c = 4.9725 Å
α = 108.63°, β = 108.63°, γ = 72.30°
Last column: nearest neighbours and their distance in Å.
Positions (direct):
K  0.1755  0.1755  0.2983  8 F 2.63-2.89
K  0.8245  0.8245  0.7017  8 F 2.63-2.89
P  0.5000  0.5000  0.0000  6 F 1.62-1.65
F  0.0747  0.0747  0.7026  1 F 2.01
F  0.2515  0.5510  0.7840  1 P 1.65
F  0.4051  0.4051  0.1886  1 P 1.62
F  0.4490  0.7485  0.2160  1 P 1.65
F  0.5510  0.2515  0.7840  1 P 1.65
F  0.5949  0.5949  0.8114  1 P 1.62
F  0.7485  0.4490  0.2160  1 P 1.65
F  0.9253  0.9253  0.2974  1 F 2.01

***

(2)
Compound: Ac3Mn2Ge7
Source: Alexandria via LeMat-Bulk
Functional: GGA-PBE
Structure: optimized geometry

Output
ΔH_f (0 K) = -0.44 eV/atom
Crystal system = monoclinic

a = 4.4791 Å, b = 4.5509 Å, c = 13.5354 Å
α = 90.00°, β = 99.50°, γ = 90.00°
Last column: nearest neighbours and their distance in Å.
Positions (direct):
Ac  0.0000  0.0000  0.0000  12 Ge 3.19-3.29, 2 Mn 3.37
Ac  0.3178  0.5000  0.6326  10 Ge 3.34-3.42, 4 Mn 3.54
Ac  0.6822  0.5000  0.3674  10 Ge 3.34-3.42, 4 Mn 3.54
Mn  0.1248  0.0000  0.2528  5 Ge 2.44-2.51
Mn  0.8752  0.0000  0.7472  5 Ge 2.44-2.51
Ge  0.0872  0.5000  0.1781  2 Mn 2.48
Ge  0.2187  0.0000  0.4410  1 Mn 2.51, 2 Ge 2.72-2.75
Ge  0.4113  0.0000  0.8198  2 Mn 2.44
Ge  0.5000  0.5000  0.0000  4 Ac 3.19, 8 Ge 3.26-3.31
Ge  0.5887  0.0000  0.1802  2 Mn 2.44
Ge  0.7813  0.0000  0.5590  1 Mn 2.51, 2 Ge 2.72-2.75
Ge  0.9128  0.5000  0.8219  2 Mn 2.48

***

(3)
Compound: Y2Tl2As
Source: Alexandria via LeMat-Bulk
Functional: GGA-PBE
Structure: optimized geometry

Output
Distance to the lowest polymorph of the same formula = 265 meV/atom
ΔH_f (0 K) = -0.27 eV/atom
Crystal system = tetragonal

a = 9.0128 Å, b = 9.0128 Å, c = 9.0128 Å
α = 154.09°, β = 154.09°, γ = 36.97°
Last column: nearest neighbours and their distance in Å.
Positions (direct):
Y  0.0924  0.0924  0.0000  1 Y 3.16, 4 As 3.27, 4 Tl 3.37
Y  0.9076  0.9076  0.0000  1 Y 3.16, 4 As 3.27, 4 Tl 3.37
Tl  0.2500  0.7500  0.5000  4 Tl 2.86
Tl  0.7500  0.2500  0.5000  4 Tl 2.86
As  0.5000  0.5000  0.0000  8 Y 3.27

***

(4)
Compound: Sr2YTl
Source: Alexandria via LeMat-Bulk
Functional: GGA-PBE
Structure: optimized geometry

Output
Distance to the lowest polymorph of the same formula = 74 meV/atom
ΔH_f (0 K) = -0.06 eV/atom
Crystal system = tetragonal

a = 5.1104 Å, b = 5.1104 Å, c = 5.4283 Å
α = 90.00°, β = 90.00°, γ = 90.00°
Last column: nearest neighbours and their distance in Å.
Positions (direct):
Sr  0.0000  0.5000  0.0000  4 Sr 3.61, 4 Tl 3.73, 4 Y 3.73
Sr  0.5000  0.0000  0.0000  4 Sr 3.61, 4 Tl 3.73, 4 Y 3.73
Y  0.0000  0.0000  0.5000  4 Tl 3.61, 8 Sr 3.73
Tl  0.5000  0.5000  0.5000  4 Y 3.61, 8 Sr 3.73

***

(5)
Compound: CuRuBr2
Source: Alexandria via LeMat-Bulk
Functional: GGA-PBE
Structure: optimized geometry

Output
Distance to the lowest polymorph of the same formula = 131 meV/atom
Formation energy from raw total energies = 0.39 eV per atom
Crystal system = tetragonal

a = 3.3697 Å, b = 3.3697 Å, c = 7.7773 Å
α = 90.00°, β = 90.00°, γ = 90.00°
Last column: nearest neighbours and their distance in Å.
Positions (direct):
Cu  0.0000  0.0000  0.0000  5 Br 2.71-2.96, 4 Ru 2.72
Ru  0.5000  0.5000  0.1681  5 Br 2.60-2.90, 4 Cu 2.72
Br  0.0000  0.0000  0.3802  4 Ru 2.90, 1 Cu 2.96
Br  0.5000  0.5000  0.8338  1 Ru 2.60, 4 Cu 2.71

***

(6)
Compound: Ac3Mg2AlO9
Source: Alexandria via LeMat-Bulk
Functional: GGA-PBE
Structure: optimized geometry

Output
Formation energy from raw total energies = -2.85 eV per atom
Crystal system = trigonal

a = 5.6011 Å, b = 5.6011 Å, c = 6.9140 Å
α = 90.00°, β = 90.00°, γ = 120.00°
Last column: nearest neighbours and their distance in Å.
Positions (direct):
Ac  0.0000  0.0000  0.0000  12 O 2.80-2.83
Ac  0.3333  0.6667  0.6707  12 O 2.79-2.83
Ac  0.6667  0.3333  0.3293  12 O 2.79-2.83
Mg  0.3333  0.6667  0.1765  6 O 2.03
Mg  0.6667  0.3333  0.8235  6 O 2.03
Al  0.0000  0.0000  0.5000  6 O 1.90
O  0.0000  0.5000  0.0000  2 Mg 2.03
O  0.1603  0.3206  0.3417  1 Al 1.90, 1 Mg 2.03
O  0.1603  0.8397  0.3417  1 Al 1.90, 1 Mg 2.03
O  0.3206  0.1603  0.6583  1 Al 1.90, 1 Mg 2.03
O  0.5000  0.0000  0.0000  2 Mg 2.03
O  0.5000  0.5000  0.0000  2 Mg 2.03
O  0.6794  0.8397  0.3417  1 Al 1.90, 1 Mg 2.03
O  0.8397  0.1603  0.6583  1 Al 1.90, 1 Mg 2.03
O  0.8397  0.6794  0.6583  1 Al 1.90, 1 Mg 2.03

***

no.,total moment (μB per formula unit)
1,1.00
2,4.84
3,0.06
4,0.00
5,3.02
6,2.01